1.
Entry from Alexandria: a relaxed Tb8Ni2Pt crystal (PBE-GGA).

Lattice parameters (Å, degrees): 5.037 6.618 9.056 104.53 106.15 90.00
Element x y z (fractional)
Tb: 0.590 0.453 0.181
Tb: 0.410 0.547 0.819
Tb: 0.038 0.789 0.075
Tb: 0.673 0.986 0.346
Tb: 0.327 0.014 0.654
Tb: 0.202 0.339 0.405
Tb: 0.962 0.211 0.925
Pt: 0.500 0.000 0.000
Ni: 0.815 0.266 0.630
Ni: 0.185 0.734 0.370
Tb: 0.798 0.661 0.595

Values from the calculation:
The calculation puts the formation energy at -36 kJ per mole of atoms. The value obtained for the total magnetization is 0.0 μB/cell. The value obtained for the energy relative to the lowest polymorph listed for this composition is 0 meV/atom.



2.
Entry from Alexandria: a relaxed PmGdNi4 crystal (PBE-GGA).

Lattice parameters (Å, degrees): 5.122 5.122 5.122 60.00 60.00 60.00
Element x y z (fractional)
Ni: 0.625 0.625 0.625
Gd: 0.000 0.000 0.000
Ni: 0.625 0.124 0.625
Ni: 0.124 0.625 0.625
Pm: 0.250 0.250 0.250
Ni: 0.625 0.625 0.124

Values from the calculation:
The calculation puts the formation energy at -37 kJ per mole of atoms. The value obtained for the total magnetization is 7.1 μB/cell.



3.
Entry from Alexandria: a relaxed ThCuSi crystal (PBE-GGA).

Lattice parameters (Å, degrees): 4.509 4.509 4.509 60.00 60.00 60.00
Element x y z (fractional)
Si: 0.000 0.000 0.000
Th: 0.500 0.500 0.500
Cu: 0.250 0.250 0.250

Values from the calculation:
The value obtained for the total magnetization is 0.0 μB/cell. The calculation puts the formation energy from raw total energies at -1.0 eV per formula unit.



4.
Entry from Alexandria: a relaxed PrTm2ThBi4 crystal (PBE-GGA).

Lattice parameters (Å, degrees): 4.536 7.807 7.851 70.48 90.00 90.00
Element x y z (fractional)
Bi: 0.000 0.763 0.744
Th: 0.000 0.500 0.500
Bi: 0.500 0.237 0.753
Bi: 0.000 0.237 0.256
Tm: 0.000 0.000 0.000
Bi: 0.500 0.763 0.247
Tm: 0.500 0.000 0.500
Pr: 0.500 0.500 0.000

Values from the calculation:
The calculation puts the formation energy at -75 kJ per mole of atoms. The value obtained for the total magnetization is 0.0 μB/cell.



5.
Entry from Alexandria: a relaxed ScTiCu4 crystal (PBE-GGA).

Lattice parameters (Å, degrees): 4.975 4.975 4.975 60.00 60.00 60.00
Element x y z (fractional)
Sc: 0.000 0.000 0.000
Ti: 0.250 0.250 0.250
Cu: 0.625 0.126 0.625
Cu: 0.625 0.625 0.126
Cu: 0.126 0.625 0.625
Cu: 0.625 0.625 0.625

Values from the calculation:
The calculation puts the formation energy at -8 kJ per mole of atoms. The value obtained for the total magnetization is 0.8 μB/cell. The value obtained for the energy relative to the lowest polymorph listed for this composition is 99 meV/atom.



6.
Entry from Alexandria: a relaxed Ce3IrC3 crystal (PBE-GGA).

Lattice parameters (Å, degrees): 5.237 6.772 6.773 99.10 90.00 90.00
Element x y z (fractional)
C: 0.250 0.151 0.412
C: 0.750 0.849 0.588
Ce: 0.250 0.415 0.168
C: 0.750 0.412 0.151
Ce: 0.250 0.886 0.114
Ce: 0.750 0.585 0.832
Ce: 0.750 0.114 0.886
Ce: 0.250 0.832 0.585
C: 0.750 0.883 0.117
Ce: 0.750 0.168 0.415
Ir: 0.250 0.310 0.690
C: 0.250 0.117 0.883
Ir: 0.750 0.690 0.310
C: 0.250 0.588 0.849

Values from the calculation:
The calculation puts the formation energy at -29 kJ per mole of atoms. The value obtained for the total magnetization is 0.0 μB/cell.



7.
Entry from Alexandria: a relaxed CaCd2PdAu crystal (PBE-GGA).

Lattice parameters (Å, degrees): 5.834 5.261 5.834 90.00 90.00 90.00
Element x y z (fractional)
Cd: 0.500 0.000 0.000
Ca: 0.000 0.000 0.000
Au: 0.000 0.500 0.000
Cd: 0.000 0.000 0.500
Pd: 0.500 0.500 0.500

Values from the calculation:
The calculation puts the formation energy at 78 kJ per mole of atoms. The value obtained for the total magnetization is 0.0 μB/cell.



8.
Entry from Alexandria: a relaxed LiTl3Rh crystal (PBE-GGA).

Lattice parameters (Å, degrees): 5.686 8.255 9.580 106.12 90.00 90.00
Element x y z (fractional)
Tl: 0.750 0.589 0.652
Tl: 0.250 0.411 0.348
Tl: 0.980 0.202 0.045
Tl: 0.250 0.411 0.848
Li: 0.753 0.365 0.341
Rh: 0.475 0.296 0.072
Tl: 0.003 0.999 0.331
Li: 0.253 0.635 0.159
Rh: 0.525 0.704 0.928
Li: 0.247 0.635 0.659
Li: 0.747 0.365 0.841
Tl: 0.503 0.001 0.169
Rh: 0.975 0.704 0.428
Tl: 0.997 0.001 0.669
Tl: 0.750 0.589 0.152
Tl: 0.480 0.798 0.455
Rh: 0.025 0.296 0.572
Tl: 0.520 0.202 0.545
Tl: 0.497 0.999 0.831
Tl: 0.020 0.798 0.955

Values from the calculation:
The calculation puts the formation energy at -9 kJ per mole of atoms. The value obtained for the total magnetization is 0.0 μB/cell. The value obtained for the energy relative to the lowest polymorph listed for this composition is 0 meV/atom.



9.
Entry from Alexandria: a relaxed Cr3NiSb4 crystal (PBE-GGA).

Lattice parameters (Å, degrees): 4.020 4.020 11.303 90.00 90.00 120.00
Element x y z (fractional)
Sb: 0.667 0.333 0.111
Sb: 0.667 0.333 0.629
Cr: 0.000 0.000 0.242
Ni: 0.000 0.000 0.000
Sb: 0.333 0.667 0.889
Sb: 0.333 0.667 0.371
Cr: 0.000 0.000 0.500
Cr: 0.000 0.000 0.758

Values from the calculation:
The value obtained for the total magnetization is 9.0 μB/cell. The calculation puts the formation energy from raw total energies at 0.1 eV per formula unit.



10.
Entry from Alexandria: a relaxed La4As3F crystal (PBE-GGA).

Lattice parameters (Å, degrees): 4.302 7.359 7.359 70.76 90.00 90.00
Element x y z (fractional)
As: 0.000 0.500 0.500
F: 0.501 0.502 0.998
La: 0.500 0.747 0.247
As: 0.500 0.000 0.500
La: 0.000 0.245 0.255
La: 0.000 0.754 0.746
La: 0.500 0.253 0.753
As: 0.000 0.000 0.000

Values from the calculation:
The value obtained for the total magnetization is 0.0 μB/cell. The calculation puts the formation energy from raw total energies at -14.5 eV per formula unit.



11.
Entry from Alexandria: a relaxed LiAc6Sm crystal (PBE-GGA).

Lattice parameters (Å, degrees): 5.665 5.665 10.953 75.01 75.01 90.00
Element x y z (fractional)
Ac: 0.250 0.250 0.500
Ac: 0.750 0.750 0.500
Ac: 0.386 0.886 0.227
Sm: 0.500 0.500 0.000
Ac: 0.886 0.386 0.227
Li: 0.000 0.000 0.000
Ac: 0.114 0.614 0.773
Ac: 0.614 0.114 0.773

Values from the calculation:
The calculation puts the formation energy at 8 kJ per mole of atoms. The value obtained for the total magnetization is 0.0 μB/cell.



12.
Entry from Alexandria: a relaxed RuAuI2 crystal (PBE-GGA).

Lattice parameters (Å, degrees): 5.036 5.036 5.036 60.00 60.00 60.00
Element x y z (fractional)
I: 0.750 0.750 0.750
I: 0.250 0.250 0.250
Au: 0.500 0.500 0.500
Ru: 0.000 0.000 0.000

Values from the calculation:
The value obtained for the total magnetization is 1.0 μB/cell. The calculation puts the formation energy from raw total energies at 3.7 eV per formula unit. The value obtained for the energy relative to the lowest polymorph listed for this composition is 367 meV/atom.